An optimized crystal structure of Rb2TmU3O12, computed with PBE. Values from VASP.

The structure in Quantum ESPRESSO input format:
```
&SYSTEM
  ibrav = 0, nat = 18, ntyp = 4
/
ATOMIC_SPECIES
Rb 85.47 Rb.upf
Tm 168.93 Tm.upf
U 238.03 U.upf
O 16.00 O.upf
CELL_PARAMETERS angstrom
4.023 2.323 6.268
-4.023 2.323 6.268
0.000 -4.645 6.268
ATOMIC_POSITIONS crystal
Rb 0.123 0.123 0.123
Rb 0.877 0.877 0.877
Tm 0.500 0.500 0.500
U 0.000 0.500 0.500
U 0.500 0.000 0.500
U 0.500 0.500 0.000
O 0.169 0.569 0.569
O 0.187 0.187 0.570
O 0.187 0.570 0.187
O 0.430 0.813 0.813
O 0.431 0.431 0.831
O 0.431 0.831 0.431
O 0.569 0.169 0.569
O 0.569 0.569 0.169
O 0.570 0.187 0.187
O 0.813 0.430 0.813
O 0.813 0.813 0.430
O 0.831 0.431 0.431
```

Properties
- DFT total energy: -152.05 eV per formula unit
- Formation energy from raw total energies: -2.90 eV/atom
- SG: R-3m (166)
- Spin magnetization: 0.00 μB/f.u.

An optimized crystal structure of Ac3Pr8Sm, computed with PBE. Values from VASP.

The structure in Quantum ESPRESSO input format:
```
&SYSTEM
  ibrav = 0, nat = 12, ntyp = 3
/
ATOMIC_SPECIES
Ac 227.00 Ac.upf
Pr 140.91 Pr.upf
Sm 150.36 Sm.upf
CELL_PARAMETERS angstrom
-3.386 4.780 7.287
3.386 -4.780 7.287
3.386 4.780 -7.287
ATOMIC_POSITIONS crystal
Ac 0.000 0.000 0.000
Ac 0.130 0.630 0.500
Ac 0.870 0.370 0.500
Pr 0.144 0.433 0.992
Pr 0.240 0.028 0.471
Pr 0.441 0.152 0.008
Pr 0.444 0.972 0.212
Pr 0.556 0.769 0.529
Pr 0.559 0.567 0.711
Pr 0.760 0.231 0.788
Pr 0.856 0.848 0.289
Sm 0.500 0.500 0.000
```

Properties
- Energy relative to the elements: 23.0 kJ per mole of atoms
- DFT total energy: -52.42 eV per formula unit
- SG: I222 (23)
- Spin magnetization: 0.00 μB/f.u.

An optimized crystal structure of ErScSnPt, computed with PBE. Values from VASP.

The structure in Quantum ESPRESSO input format:
```
&SYSTEM
  ibrav = 0, nat = 16, ntyp = 4
/
ATOMIC_SPECIES
Er 167.26 Er.upf
Sc 44.96 Sc.upf
Sn 118.71 Sn.upf
Pt 195.08 Pt.upf
CELL_PARAMETERS angstrom
7.049 0.000 0.000
0.000 7.049 0.000
0.000 0.000 7.049
ATOMIC_POSITIONS crystal
Er 0.000 0.000 0.000
Er 0.000 0.500 0.500
Er 0.500 0.000 0.500
Er 0.500 0.500 0.000
Sc 0.000 0.000 0.500
Sc 0.000 0.500 0.000
Sc 0.500 0.000 0.000
Sc 0.500 0.500 0.500
Sn 0.250 0.250 0.750
Sn 0.250 0.750 0.250
Sn 0.750 0.250 0.250
Sn 0.750 0.750 0.750
Pt 0.250 0.250 0.250
Pt 0.250 0.750 0.750
Pt 0.750 0.250 0.750
Pt 0.750 0.750 0.250
```

Properties
- Energy relative to the elements: -80.6 kJ per mole of atoms
- DFT total energy: -24.28 eV per formula unit
- SG: F-43m (216)
- Spin magnetization: 0.00 μB/f.u.